PuGe3Pd3 | the Alexandria database | PBE | relaxed; space-group type = P6_3/m, No. 176; ΔE_f = -77.3 meV/atom; volume = 17.683 Å³/atom
1.0
7.983 0.000 0.000
-3.991 6.913 0.000
0.000 0.000 4.486
Pu Ge Pd
2 6 6
Cartesian
0.000 4.609 1.121
3.991 2.304 3.364
-1.991 4.604 3.364
1.000 2.887 3.364
3.000 0.578 1.121
0.992 6.336 3.364
2.992 4.027 1.121
5.983 2.309 1.121
-2.855 5.582 1.121
0.584 1.649 1.121
1.721 0.318 3.364
2.271 6.595 1.121
3.407 5.264 3.364
6.847 1.331 3.364

Pu2GePd | the Alexandria database | PBE | relaxed; space-group type = Pnma, No. 62; ΔE_f = -199.8 meV/atom; volume = 17.800 Å³/atom
1.0
6.031 0.000 0.000
0.000 10.205 0.000
0.000 0.000 4.627
Pu Ge Pd
8 4 4
Cartesian
1.107 0.212 0.345
1.107 4.890 0.345
1.908 5.315 2.658
1.908 9.992 2.658
4.123 0.212 1.969
4.123 4.890 1.969
4.924 5.315 4.283
4.924 9.992 4.283
0.742 7.653 4.007
2.274 2.551 1.694
3.757 7.653 2.934
5.290 2.551 0.620
0.121 2.551 2.937
2.894 7.653 0.623
3.137 2.551 4.004
5.910 7.653 1.691

PuGePd4 | the Alexandria database | PBE | relaxed; space-group type = Pmma, No. 51; ΔE_f = -487.2 meV/atom; volume = 17.844 Å³/atom
1.0
7.689 0.000 0.000
0.000 3.990 0.000
0.000 0.000 6.979
Pu Ge Pd
2 2 8
Cartesian
1.922 0.000 0.971
5.767 0.000 6.008
1.922 0.000 5.032
5.767 0.000 1.947
0.000 0.000 3.489
0.403 1.995 5.628
1.922 1.995 3.123
3.442 1.995 5.628
3.845 0.000 3.489
4.247 1.995 1.351
5.767 1.995 3.856
7.286 1.995 1.351

Pu3Ge2Pd3 | the Alexandria database | PBE | relaxed; space-group type = Pnma, No. 62; ΔE_f = -551.6 meV/atom; volume = 21.056 Å³/atom
1.0
7.878 0.000 0.000
0.000 15.116 0.000
0.000 0.000 5.658
Pu Ge Pd
12 8 12
Cartesian
0.258 1.651 0.762
0.258 5.907 0.762
1.316 3.779 3.448
2.623 11.337 0.619
3.680 9.209 3.591
3.680 13.465 3.591
4.197 1.651 2.068
4.197 5.907 2.068
5.255 3.779 5.040
6.561 11.337 2.211
7.619 9.209 4.897
7.619 13.465 4.897
0.934 9.212 2.000
0.934 13.462 2.000
3.005 1.654 4.829
3.005 5.904 4.829
4.873 9.212 0.829
4.873 13.462 0.829
6.944 1.654 3.658
6.944 5.904 3.658
1.359 0.475 3.365
1.359 7.083 3.365
1.488 11.337 3.487
2.451 3.779 0.657
2.580 8.033 0.536
2.580 14.641 0.536
5.298 0.475 5.122
5.298 7.083 5.122
5.426 11.337 5.001
6.390 3.779 2.172
6.519 8.033 2.293
6.519 14.641 2.293

PuGe2Pd4 | the Alexandria database | PBE | relaxed; space-group type = P4_2/mnm, No. 136; ΔE_f = -579.6 meV/atom; volume = 17.534 Å³/atom
1.0
7.874 0.000 0.000
0.000 7.874 0.000
0.000 0.000 3.959
Pu Ge Pd
2 4 8
Cartesian
0.000 0.000 0.000
3.937 3.937 1.980
1.721 1.721 1.980
2.216 5.658 0.000
5.658 2.216 0.000
6.153 6.153 1.980
0.668 5.242 1.980
1.305 3.269 0.000
2.632 7.206 1.980
3.269 1.305 0.000
4.605 6.569 0.000
5.242 0.668 1.980
6.569 4.605 0.000
7.206 2.632 1.980

Pu5Ge3Pd | the Alexandria database | PBE | relaxed; space-group type = C2/m, No. 12; ΔE_f = 27.2 meV/atom; volume = 23.440 Å³/atom; energy above the most stable polymorph in this dataset = 0.4013 eV/atom
1.0
5.548 -4.219 0.000
5.548 4.219 0.000
-1.784 0.000 9.012
Pu Ge Pd
10 6 2
Cartesian
-0.939 0.000 5.722
3.389 2.139 2.910
5.548 2.762 0.000
0.920 0.000 8.374
5.923 2.139 6.103
3.389 -2.139 2.910
8.391 0.000 0.639
5.548 -2.762 0.000
5.923 -2.139 6.103
10.251 0.000 3.290
1.648 0.000 1.957
1.839 0.000 4.532
5.548 0.000 0.000
4.656 0.000 4.506
7.473 0.000 4.481
7.663 0.000 7.056
3.274 0.000 6.594
6.038 0.000 2.418

Pu6Ge5Pd | the Alexandria database | PBE | relaxed; space-group type = C2/m, No. 12; ΔE_f = -424.3 meV/atom; volume = 21.724 Å³/atom
1.0
3.980 -8.229 0.000
3.980 8.229 0.000
-3.778 0.000 3.980
Pu Ge Pd
6 5 1
Cartesian
-0.856 2.765 2.974
1.034 0.000 0.983
-0.856 -2.765 2.974
5.037 2.765 1.006
3.148 0.000 2.997
5.037 -2.765 1.006
-1.889 0.000 1.990
3.980 5.476 0.000
2.091 2.709 1.990
2.091 -2.709 1.990
3.980 -5.476 0.000
3.980 0.000 0.000

Pu2Ge4PdRh3 | the Alexandria database | PBE | relaxed; space-group type = P-4m2, No. 115; ΔE_f = -627.9 meV/atom; volume = 18.301 Å³/atom
1.0
4.222 0.000 0.000
0.000 4.222 0.000
0.000 0.000 10.269
Pu Ge Pd Rh
2 4 1 3
Cartesian
0.000 2.111 2.483
2.111 0.000 7.786
0.000 0.000 0.000
0.000 2.111 6.527
2.111 0.000 3.742
2.111 2.111 0.000
0.000 0.000 5.135
0.000 2.111 8.956
2.111 0.000 1.313
2.111 2.111 5.135

Pu2Ge3SbPd4 | the Alexandria database | PBE | relaxed; space-group type = P-4m2, No. 115; volume = 19.994 Å³/atom; E_tot = -7.294 eV per atom
1.0
4.368 0.000 0.000
0.000 4.368 0.000
0.000 0.000 10.477
Pu Ge Sb Pd
2 3 1 4
Cartesian
0.000 2.184 2.521
2.184 0.000 7.957
0.000 2.184 9.177
2.184 0.000 1.300
2.184 2.184 5.239
0.000 0.000 5.239
0.000 0.000 0.000
0.000 2.184 6.736
2.184 0.000 3.741
2.184 2.184 0.000

Pu2GeSb3Pd4 | the Alexandria database | PBE | relaxed; space-group type = P-4m2, No. 115; volume = 21.714 Å³/atom; E_tot = -7.217 eV per atom
1.0
4.518 0.000 0.000
0.000 4.518 0.000
0.000 0.000 10.639
Pu Ge Sb Pd
2 1 3 4
Cartesian
0.000 2.259 2.634
2.259 0.000 8.005
2.259 2.259 0.000
0.000 0.000 0.000
0.000 2.259 6.772
2.259 0.000 3.868
0.000 0.000 5.320
0.000 2.259 9.344
2.259 0.000 1.295
2.259 2.259 5.320

Pu2GeSbPd6 | the Alexandria database | PBE | relaxed; space-group type = Pmmn, No. 59; volume = 21.045 Å³/atom; E_tot = -7.322 eV per atom
1.0
5.557 0.000 0.000
0.000 8.737 0.000
0.000 0.000 8.669
Pu Ge Sb Pd
4 2 2 12
Cartesian
1.389 0.064 2.084
1.389 4.304 2.084
4.168 4.433 6.585
4.168 8.673 6.585
1.389 6.553 6.469
4.168 2.184 2.201
1.389 2.184 6.684
4.168 6.553 1.985
0.007 2.184 4.313
0.013 6.553 8.476
1.389 4.378 5.225
1.389 8.727 5.225
2.765 6.553 8.476
2.771 2.184 4.313
2.785 6.553 4.357
2.791 2.184 0.193
4.168 0.010 3.444
4.168 4.359 3.444
5.544 2.184 0.193
5.550 6.553 4.357

PuScGePd | the Alexandria database | PBE | relaxed; space-group type = F-43m, No. 216; ΔE_f = -541.8 meV/atom; volume = 20.728 Å³/atom
1.0
0.000 3.461 3.461
3.461 0.000 3.461
3.461 3.461 0.000
Pu Sc Ge Pd
1 1 1 1
Cartesian
0.000 0.000 0.000
3.461 3.461 3.461
5.191 5.191 5.191
1.730 1.730 1.730